Ag2H6Ir | PBE | relaxed

a = 5.3161 Å, b = 4.9889 Å, c = 7.2626 Å
α = 90.00°, β = 82.87°, γ = 90.00°
Fractional positions:
Ag1 0.7789 0.4998 0.6366
Ag2 0.7211 0.9998 0.8634
Ag3 0.2789 0.0002 0.1366
Ag4 0.2211 0.5002 0.3634
H1 0.9468 0.9844 0.2754
H2 0.7465 0.8026 0.4783
H3 0.7424 0.7079 0.0321
H4 0.7576 0.2079 0.4679
H5 0.7535 0.3026 0.0217
H6 0.5532 0.4844 0.2246
H7 0.0532 0.0156 0.7246
H8 0.2535 0.1974 0.5217
H9 0.2576 0.2921 0.9679
H10 0.2424 0.7921 0.5321
H11 0.2465 0.6974 0.9783
H12 0.4468 0.5156 0.7754
Ir1 0.5000 0.5000 0.0000
Ir2 0.0000 0.0000 0.5000

## Properties
Calculated total energy in eV/atom: -3.69
Space group: P2_1/c, No. 14